Compound: BeZn2In
Source: Alexandria
Functional: GGA-PBE
Structure: optimized geometry

Computed properties:
As for the final energy: -0.0742 Ha/atom. The energy above the most stable polymorph in this dataset comes out at 0 meV per atom. The total magnetic moment comes out at 0.00 μB per formula unit. The value obtained for the formation energy is 233 meV per atom.

abc: 2.8950 2.8950 7.7804
angles: 90.00 90.00 90.00
Space group P4/mmm (No. 123)
Unique sites:
1 Be 0.0000 0.0000 0.0000
2 Zn 0.5000 0.5000 0.1871
3 In 0.0000 0.0000 0.5000